[1]
Tm2ThIn | Alexandria via LeMat-Bulk | PBE-GGA | optimized geometry; uncorrected energy = -4.94 eV/atom; polymorph energy (0 for the lowest one) = 83 meV per atom; energy of formation = -161 meV/atom; total moment = 0.0 μB per formula unit
1.0
-1.283 -3.252 -0.465
2.171 -2.778 0.062
-1.198 -2.940 10.504
In Tm Th
1 2 1
Cartesian
0.000 0.000 0.000
-0.063 -2.233 2.422
-0.247 -6.736 7.679
-0.155 -4.485 5.051

***

[2]
Tm3ThIn | Alexandria via LeMat-Bulk | PBE-GGA | optimized geometry; uncorrected energy = -4.77 eV/atom; polymorph energy (0 for the lowest one) = 66 meV per atom; energy of formation = -55 meV/atom; total moment = 0.0 μB per formula unit
1.0
-1.188 -4.966 -1.971
5.589 1.631 -7.475
8.756 -4.470 5.985
Tm Th In
12 4 4
Cartesian
1.417 -5.221 -2.889
11.741 -2.584 -0.572
8.249 -2.133 0.380
3.281 -2.365 -3.592
4.908 -5.672 -3.841
10.872 -4.314 -3.289
5.901 -4.556 -7.265
6.387 -4.978 1.087
2.286 -3.491 -0.172
9.877 -5.440 0.131
7.256 -3.249 3.804
6.770 -2.827 -4.548
3.723 -6.723 -0.492
8.693 -6.482 3.483
4.464 -1.323 -6.944
9.434 -1.082 -2.969
5.134 -3.669 -1.421
10.102 -3.439 2.550
8.023 -4.136 -2.040
3.055 -4.366 -6.011

***

[3]
Tm7ThIn4 | Alexandria via LeMat-Bulk | PBE-GGA | optimized geometry; uncorrected energy = -4.17 eV/atom; energy of formation = -30 meV/atom; total moment = 0.0 μB per formula unit
1.0
5.765 0.000 0.000
2.882 8.479 1.108
2.882 1.149 7.203
In Tm Th
4 7 1
Cartesian
8.647 6.732 7.743
5.765 3.222 4.794
2.882 2.895 0.569
5.765 6.405 3.518
8.647 4.330 5.746
8.647 8.032 4.726
2.882 5.298 2.565
5.765 2.800 1.872
2.882 0.000 0.000
2.882 1.596 3.585
5.765 6.828 6.440
0.000 0.000 0.000

***

[4]
TmThIn | Alexandria via LeMat-Bulk | PBE-GGA | optimized geometry; uncorrected energy = -5.09 eV/atom; polymorph energy (0 for the lowest one) = 55 meV per atom; energy of formation = -212 meV/atom; total moment = 0.0 μB per formula unit
1.0
3.788 0.000 0.000
0.000 10.358 0.000
0.000 0.000 8.953
Tm In Th
4 4 4
Cartesian
2.841 4.199 7.866
2.841 0.980 3.390
0.947 6.159 1.087
0.947 9.378 5.563
2.841 3.822 2.085
2.841 1.357 6.562
0.947 9.001 2.391
0.947 6.536 6.868
2.841 6.720 4.107
2.841 8.817 8.583
0.947 1.541 0.370
0.947 3.638 4.846

***

[5]
TmTh2In | Alexandria via LeMat-Bulk | PBE-GGA | optimized geometry; uncorrected energy = -5.32 eV/atom; polymorph energy (0 for the lowest one) = 378 meV per atom; energy of formation = 194 meV/atom; total moment = 0.0 μB per formula unit
1.0
3.465 0.000 0.000
1.732 3.001 0.000
1.732 1.000 12.410
In Tm Th
1 1 2
Cartesian
0.000 0.000 0.000
3.465 2.000 6.205
1.732 1.000 9.108
5.197 3.001 3.302

***

[6]
TmThIn | Alexandria via LeMat-Bulk | PBE-GGA | optimized geometry; uncorrected energy = -5.08 eV/atom; polymorph energy (0 for the lowest one) = 65 meV per atom; energy of formation = -202 meV/atom; total moment = 0.0 μB per formula unit
1.0
-0.272 0.238 -3.569
2.588 -2.459 -0.361
-5.868 -3.852 1.993
In Tm Th
1 1 1
Cartesian
-3.026 -5.518 -1.941
-2.781 -2.930 0.016
0.116 -2.208 -1.959

***

[7]
TmTh2In | Alexandria via LeMat-Bulk | PBE-GGA | optimized geometry; uncorrected energy = -5.50 eV/atom; polymorph energy (0 for the lowest one) = 201 meV per atom; energy of formation = 17 meV/atom; total moment = 0.0 μB per formula unit
1.0
5.535 0.000 0.000
2.767 4.793 0.000
2.767 1.598 4.519
In Tm Th
1 1 2
Cartesian
5.535 3.195 2.259
0.000 0.000 0.000
2.767 1.598 1.130
8.302 4.793 3.389

***

[8]
Tm2ThIn | Alexandria via LeMat-Bulk | PBE-GGA | optimized geometry; uncorrected energy = -4.89 eV/atom; polymorph energy (0 for the lowest one) = 125 meV per atom; energy of formation = -118 meV/atom; total moment = 0.0 μB per formula unit
1.0
3.526 0.000 0.000
1.763 3.053 0.000
1.763 1.018 10.912
In Th Tm
1 1 2
Cartesian
3.526 2.036 0.008
3.526 2.036 5.450
1.763 1.018 2.537
1.763 1.018 8.374